# 1
SrY2Cd | PBE | relaxed

Cell: 12.7026 12.7026 12.7026 Å, 158.58 158.58 30.48°
Closest atoms and distances in Å follow each position.
Atoms (fractional coordinates):
Sr: 0.0000 0.0000 0.0000  4 Cd 3.34, 4 Y 3.52
Sr: 0.7500 0.2500 0.5000  4 Cd 3.34, 4 Y 3.52
Y: 0.1461 0.6250 0.0211  4 Y 3.20-3.48, 2 Cd 3.46, 2 Sr 3.52
Y: 0.3750 0.3961 0.5211  4 Y 3.20-3.48, 2 Cd 3.46, 2 Sr 3.52
Y: 0.6039 0.1250 0.9789  4 Y 3.20-3.48, 2 Cd 3.46, 2 Sr 3.52
Y: 0.8750 0.8539 0.4789  4 Y 3.20-3.48, 2 Cd 3.46, 2 Sr 3.52
Cd: 0.2500 0.7500 0.5000  4 Sr 3.34, 4 Y 3.46
Cd: 0.5000 0.5000 0.0000  4 Sr 3.34, 4 Y 3.46

N(E_F) (states/eV/cell): 10.200
Energy of formation from the pure elements (eV/atom): 0.2447
Space-group type: No. 122



# 2
AgTe2Br | PBE | relaxed

Cell: 7.7718 7.7718 5.7217 Å, 90.00 90.00 104.03°
Closest atoms and distances in Å follow each position.
Atoms (fractional coordinates):
Ag: 0.1783 0.1783 0.0000  2 Br 2.72, 2 Te 2.83
Ag: 0.8217 0.8217 0.5000  2 Br 2.72, 2 Te 2.83
Te: 0.2762 0.4594 0.3253  1 Te 2.67, 1 Ag 2.83
Te: 0.4594 0.2762 0.6747  1 Te 2.67, 1 Ag 2.83
Te: 0.5406 0.7238 0.1747  1 Te 2.67, 1 Ag 2.83
Te: 0.7238 0.5406 0.8253  1 Te 2.67, 1 Ag 2.83
Br: 0.1281 0.8719 0.7500  2 Ag 2.72
Br: 0.8719 0.1281 0.2500  2 Ag 2.72

Total energy (eV/atom): -2.81
Space-group type: No. 20



# 3
Rb2MnCrCl6 | PBE | relaxed

Cell: 6.9246 6.9246 6.9246 Å, 115.54 115.54 97.91°
Closest atoms and distances in Å follow each position.
Atoms (fractional coordinates):
Rb: 0.2500 0.7500 0.5000  12 Cl 3.46-3.69
Rb: 0.7500 0.2500 0.5000  12 Cl 3.46-3.69
Mn: 0.0000 0.0000 0.0000  2 Cl 2.28
Cr: 0.5000 0.5000 0.0000  2 Cl 2.27
Cl: 0.2502 0.2502 0.0000  1 Cr 2.27, 1 Mn 2.28
Cl: 0.2497 0.2497 0.4995  1 Mn 2.61, 1 Cr 2.61
Cl: 0.2497 0.7503 0.0000  1 Mn 2.61, 1 Cr 2.61
Cl: 0.7503 0.2497 0.0000  1 Mn 2.61, 1 Cr 2.61
Cl: 0.7498 0.7498 0.0000  1 Cr 2.27, 1 Mn 2.28
Cl: 0.7503 0.7503 0.5005  1 Mn 2.61, 1 Cr 2.61

N(E_F) (states/eV/cell): 1.267
Total energy (eV/atom): -4.53
Space-group type: No. 139



# 4
PrHo6Tm6 | PBE | relaxed

Cell: 6.5368 10.9162 6.5588 Å, 90.00 115.62 90.00°
Closest atoms and distances in Å follow each position.
Atoms (fractional coordinates):
Pr: 0.0000 0.0000 0.0000  8 Ho 3.68-3.95, 4 Tm 4.08
Ho: 0.0000 0.3373 0.0000  3 Ho 3.43-3.55, 6 Tm 3.48-3.51, 1 Pr 3.68
Ho: 0.0000 0.6627 0.0000  3 Ho 3.43-3.55, 6 Tm 3.48-3.51, 1 Pr 3.68
Ho: 0.2670 0.5000 0.7378  6 Tm 3.40-3.48, 4 Ho 3.43-3.54
Ho: 0.3438 0.0000 0.6307  1 Ho 3.18, 4 Tm 3.24-3.27
Ho: 0.6562 0.0000 0.3693  1 Ho 3.18, 4 Tm 3.24-3.27
Ho: 0.7330 0.5000 0.2622  6 Tm 3.40-3.48, 4 Ho 3.43-3.54
Tm: 0.0000 0.2310 0.5000  6 Ho 3.24-3.48, 4 Tm 3.36-3.49
Tm: 0.0000 0.7690 0.5000  6 Ho 3.24-3.48, 4 Tm 3.36-3.49
Tm: 0.5000 0.2234 0.0000  6 Ho 3.27-3.50, 4 Tm 3.39-3.49
Tm: 0.5000 0.3007 0.5000  4 Tm 3.36-3.39, 6 Ho 3.40-3.65
Tm: 0.5000 0.6993 0.5000  4 Tm 3.36-3.39, 6 Ho 3.40-3.65
Tm: 0.5000 0.7766 0.0000  6 Ho 3.27-3.50, 4 Tm 3.39-3.49

N(E_F) (states/eV/cell): 19.614
Energy of formation from the pure elements (eV/atom): 0.2183
Space-group type: No. 10



# 5
As2PRuBr | PBE | relaxed

Cell: 4.7269 4.7269 4.8470 Å, 90.00 90.00 90.00°
Closest atoms and distances in Å follow each position.
Atoms (fractional coordinates):
As: 0.0000 0.5000 0.0000  2 P 2.36
As: 0.5000 0.0000 0.0000  2 P 2.36
P: 0.0000 0.0000 0.0000  4 As 2.36, 2 Br 2.42
Ru: 0.5000 0.5000 0.5000  4 Br 3.34, 8 As 3.39
Br: 0.0000 0.0000 0.5000  2 P 2.42

N(E_F) (states/eV/cell): 5.155
Energy above the most stable polymorph in this dataset (meV/atom): 416
Space-group type: No. 123



# 6
La3CdIr | PBE | relaxed

Cell: 12.5130 12.5130 12.5130 Å, 153.20 153.20 38.26°
Closest atoms and distances in Å follow each position.
Atoms (fractional coordinates):
La: 0.2098 0.2098 0.0000  2 Ir 2.92, 2 Cd 3.05
La: 0.3703 0.1313 0.7609  2 La 2.77-3.03
La: 0.3703 0.6094 0.2391  2 La 2.77-3.03
La: 0.3906 0.6297 0.7609  2 La 2.77-3.03
La: 0.7902 0.7902 0.0000  2 Ir 2.92, 2 Cd 3.05
La: 0.8687 0.6297 0.2391  2 La 2.77-3.03
Cd: 0.2500 0.7500 0.5000  8 La 3.05-3.22
Cd: 0.5000 0.5000 0.0000  4 La 3.36
Ir: 0.6948 0.1948 0.5000  1 Ir 2.61, 2 La 2.92
Ir: 0.8052 0.3052 0.5000  1 Ir 2.61, 2 La 2.92

N(E_F) (states/eV/cell): 16.737
Energy of formation from the pure elements (eV/atom): 0.3454
Energy above the most stable polymorph in this dataset (meV/atom): 834
Space-group type: No. 119



# 7
CoAu2Br | PBE | relaxed

Cell: 4.7345 4.7345 4.7345 Å, 60.00 60.00 60.00°
Closest atoms and distances in Å follow each position.
Atoms (fractional coordinates):
Co: 0.0000 0.0000 0.0000  8 Au 2.90
Au: 0.2500 0.2500 0.2500  4 Br 2.90, 4 Co 2.90
Au: 0.7500 0.7500 0.7500  4 Co 2.90, 4 Br 2.90
Br: 0.5000 0.5000 0.5000  8 Au 2.90

N(E_F) (states/eV/cell): 1.108
Energy above the most stable polymorph in this dataset (meV/atom): 475
Space-group type: No. 225



# 8
CdSiAu | PBE | relaxed

Cell: 5.9380 5.9380 5.9380 Å, 152.08 143.65 46.45°
Closest atoms and distances in Å follow each position.
Atoms (fractional coordinates):
Cd: 0.0000 0.0000 0.0000  2 Cd 2.86, 4 Au 3.10, 4 Si 3.11
Si: 0.6871 0.6871 0.0000  4 Au 2.72, 2 Si 2.86
Au: 0.3143 0.3143 0.0000  4 Si 2.72, 2 Au 2.86

N(E_F) (states/eV/cell): 1.069
Total energy (eV/atom): -3.02
Space-group type: No. 44



Asked for total moment across the records above, the calculation gives 0.000; 0.000; 0.900; 0.000; 0.389; 0.000; 0.481; 0.000 μB/atom in order.